Entry 1:
A plane-wave DFT calculation with GGA-PBE was carried out for a relaxed structure of HoTmMgPd.

abc: 5.085 5.085 5.085
angles: 60.00 60.00 60.00
Atoms (fractional coordinates):
Tm 0.250 0.250 0.250
Ho 0.750 0.750 0.750
Pd 0.000 0.000 0.000
Mg 0.500 0.500 0.500

Computed properties:
Volume in Å³/cell: 93
Excess energy over the best structure of this formula in the dataset in eV/atom: 0.080
ΔH_f (0 K) in eV per formula unit: -1.7
Space-group type: F-43m (216)
Energy in eV/cell: -17.498
Size of the total moment in μB per atom: 0.000

---

Entry 2:
A plane-wave DFT calculation with GGA-PBE was carried out for a relaxed structure of HoTmMg2Pd4.

abc: 4.742 4.742 8.230
angles: 73.26 73.26 60.00
Atoms (fractional coordinates):
Tm 0.500 0.500 0.500
Pd 0.125 0.125 0.624
Pd 0.875 0.875 0.376
Pd 0.624 0.624 0.128
Pd 0.376 0.376 0.872
Mg 0.250 0.250 0.251
Mg 0.750 0.750 0.749
Ho 0.000 0.000 0.000

Computed properties:
Volume in Å³/cell: 151
ΔH_f (0 K) in eV per formula unit: -6.6
Space-group type: R-3m (166)
Energy in eV/cell: -39.657
Size of the total moment in μB per atom: 0.000

---

Entry 3:
A plane-wave DFT calculation with GGA-PBE was carried out for a relaxed structure of HoTmMgPd.

abc: 3.588 3.588 7.371
angles: 90.00 90.00 90.00
Atoms (fractional coordinates):
Mg 0.500 0.500 0.104
Tm 0.000 0.000 0.828
Ho 0.000 0.000 0.385
Pd 0.500 0.500 0.612

Computed properties:
Volume in Å³/cell: 95
Excess energy over the best structure of this formula in the dataset in eV/atom: 0.000
ΔH_f (0 K) in eV per formula unit: -2.0
Space-group type: P4mm (99)
Energy in eV/cell: -17.818
Size of the total moment in μB per atom: 0.000

---

Entry 4:
A plane-wave DFT calculation with GGA-PBE was carried out for a relaxed structure of HoTm2MgPd4.

abc: 4.825 4.825 8.368
angles: 73.24 73.24 60.00
Atoms (fractional coordinates):
Pd 0.375 0.375 0.874
Pd 0.625 0.625 0.126
Pd 0.124 0.124 0.627
Pd 0.876 0.876 0.373
Tm 0.754 0.754 0.737
Tm 0.246 0.246 0.263
Mg 0.500 0.500 0.500
Ho 0.000 0.000 0.000

Computed properties:
Volume in Å³/cell: 159
ΔH_f (0 K) in eV per formula unit: -7.0
Space-group type: R-3m (166)
Energy in eV/cell: -42.909
Size of the total moment in μB per atom: 0.000

---

Entry 5:
A plane-wave DFT calculation with GGA-PBE was carried out for a relaxed structure of YHoMgPd.

abc: 5.127 5.127 5.127
angles: 60.00 60.00 60.00
Atoms (fractional coordinates):
Pd 0.000 0.000 0.000
Ho 0.250 0.250 0.250
Mg 0.500 0.500 0.500
Y 0.750 0.750 0.750

Computed properties:
Volume in Å³/cell: 95
ΔH_f (0 K) in eV per formula unit: -1.6
Space-group type: F-43m (216)
Energy in eV/cell: -19.463
Size of the total moment in μB per atom: 0.000

---

Entry 6:
A plane-wave DFT calculation with GGA-PBE was carried out for a relaxed structure of YHoMg2Pd4.

abc: 4.768 4.768 8.275
angles: 73.26 73.26 60.00
Atoms (fractional coordinates):
Mg 0.250 0.250 0.250
Mg 0.750 0.750 0.750
Pd 0.376 0.376 0.871
Pd 0.624 0.624 0.129
Pd 0.875 0.875 0.376
Pd 0.125 0.125 0.624
Ho 0.500 0.500 0.500
Y 0.000 0.000 0.000

Computed properties:
Volume in Å³/cell: 154
ΔH_f (0 K) in eV per formula unit: -6.5
Space-group type: R-3m (166)
Energy in eV/cell: -41.474
Size of the total moment in μB per atom: 0.000

---

- Which value of energy does entry 4 give?
  -42.909 eV/cell

---

- What is the ΔH_f (0 K) in the fifth record?
  -1.6 eV per formula unit

---

- What is the formula in the sixth record?
  YHoMg2Pd4